# PBE Na2Cd2SbO6, relaxed
data_Na2Cd2SbO6
_chemical_formula_sum 'Na2 Cd2 Sb1 O6'
_space_group_name_H-M_alt 'P 1'
_space_group_IT_number 1
_space_group_name_Hall 'P 1'
_cell_length_a 5.651
_cell_length_b 5.651
_cell_length_c 5.978
_cell_angle_alpha 100.94
_cell_angle_beta 100.94
_cell_angle_gamma 117.05
loop_
_atom_site_label
_atom_site_type_symbol
_atom_site_fract_x
_atom_site_fract_y
_atom_site_fract_z
Na1 Na 0.827 0.173 0.000
Na2 Na 0.173 0.827 0.000
Cd1 Cd 0.337 0.663 0.500
Cd2 Cd 0.663 0.337 0.500
Sb1 Sb 0.000 0.000 0.500
O1 O 0.782 0.782 0.696
O2 O 0.055 0.360 0.711
O3 O 0.218 0.218 0.304
O4 O 0.360 0.055 0.711
O5 O 0.945 0.640 0.289
O6 O 0.640 0.945 0.289
# Size of the total moment (μB/f.u.): 1.068
# Raw total energy (eV per atom): -4.78
# E_form (uncorrected) (kJ/mol of atoms): -125.1


# PBE NaEuSnSbO6, relaxed
data_NaEuSnSbO6
_chemical_formula_sum 'Na1 Eu1 Sn1 Sb1 O6'
_space_group_name_H-M_alt 'P 1'
_space_group_IT_number 1
_space_group_name_Hall 'P 1'
_cell_length_a 5.738
_cell_length_b 5.738
_cell_length_c 5.738
_cell_angle_alpha 60.00
_cell_angle_beta 60.00
_cell_angle_gamma 60.00
loop_
_atom_site_label
_atom_site_type_symbol
_atom_site_fract_x
_atom_site_fract_y
_atom_site_fract_z
Na1 Na 0.250 0.250 0.250
Eu1 Eu 0.750 0.750 0.750
Sn1 Sn 0.500 0.500 0.500
Sb1 Sb 0.000 0.000 0.000
O1 O 0.246 0.754 0.246
O2 O 0.754 0.246 0.754
O3 O 0.246 0.754 0.754
O4 O 0.754 0.246 0.246
O5 O 0.246 0.246 0.754
O6 O 0.754 0.754 0.246
# Size of the total moment (μB/f.u.): 6.757
# Raw total energy (eV per atom): -6.78
# E_form (uncorrected) (kJ/mol of atoms): -177.3


# PBE K2Pr2NpO6, relaxed
data_K2Pr2NpO6
_chemical_formula_sum 'K2 Pr2 Np1 O6'
_space_group_name_H-M_alt 'P 1'
_space_group_IT_number 1
_space_group_name_Hall 'P 1'
_cell_length_a 6.266
_cell_length_b 6.266
_cell_length_c 6.694
_cell_angle_alpha 98.44
_cell_angle_beta 98.44
_cell_angle_gamma 119.82
loop_
_atom_site_label
_atom_site_type_symbol
_atom_site_fract_x
_atom_site_fract_y
_atom_site_fract_z
K1 K 0.836 0.164 0.000
K2 K 0.164 0.836 0.000
Pr1 Pr 0.334 0.666 0.500
Pr2 Pr 0.666 0.334 0.500
Np1 Np 0.000 0.000 0.500
O1 O 0.756 0.756 0.676
O2 O 0.046 0.371 0.677
O3 O 0.244 0.244 0.324
O4 O 0.371 0.046 0.677
O5 O 0.954 0.629 0.323
O6 O 0.629 0.954 0.323
# Size of the total moment (μB/f.u.): 3.000
# Raw total energy (eV per atom): -7.63
# E_form (uncorrected) (kJ/mol of atoms): -258.4